DFT (GGA-PBE) results for crystalline MgUAlO6 at its relaxed geometry.

Calculated values
**Fermi-level density of states**: 13.58 states/eV/cell
**Formation energy (no corrections)**: -2.630 eV/atom

Lattice parameters (Å, degrees): 5.2110 5.2110 8.9868 90.00 90.00 120.00
Space group P-31c (No. 163)
Symmetry-distinct sites (fractional):
Mg  0.0000  0.0000  0.0000 x2
U  0.3333  0.6667  0.2500 x2
Al  0.3333  0.6667  0.7500 x2
O  0.0227  0.3570  0.6343 x12